Here is a relaxed Pr5NdTe6 crystal from Alexandria via LeMat-Bulk. Energies are from PBE. Values from VASP.

Energy, eV/atom: -5.40
Total magnetic moment, μB per formula unit: 0.00
Space-group type: C2/m, No. 12
E_form (uncorrected), eV per atom: -1.439

```
&SYSTEM
  ibrav = 0, nat = 12, ntyp = 3
/
ATOMIC_SPECIES
Te 127.60 Te.upf
Pr 140.91 Pr.upf
Nd 144.24 Nd.upf
CELL_PARAMETERS angstrom
-2.583 7.107 2.019
-2.665 -0.160 7.364
4.881 1.529 5.965
ATOMIC_POSITIONS crystal
Te 0.751 0.083 0.331
Te 0.750 0.752 0.000
Te 0.751 0.414 0.669
Te 0.250 0.248 0.000
Te 0.249 0.586 0.331
Te 0.249 0.917 0.669
Pr 0.500 0.500 0.000
Pr 0.500 0.168 0.664
Pr 0.500 0.832 0.336
Pr 0.000 0.667 0.666
Pr 0.000 0.333 0.334
Nd 0.000 0.000 0.000
```

***

Here is a relaxed Pr5NdTe4 crystal from Alexandria via LeMat-Bulk. Energies are from PBE. Values from VASP.

Energy, eV/atom: -5.15
Total magnetic moment, μB per formula unit: 0.00
Space-group type: C2/m, No. 12
E_form (uncorrected), eV per atom: -1.023

```
&SYSTEM
  ibrav = 0, nat = 10, ntyp = 3
/
ATOMIC_SPECIES
Te 127.60 Te.upf
Pr 140.91 Pr.upf
Nd 144.24 Nd.upf
CELL_PARAMETERS angstrom
-3.827 -0.091 2.157
1.468 -8.358 2.251
5.857 4.836 6.122
ATOMIC_POSITIONS crystal
Te 0.332 0.922 0.665
Te 0.990 0.746 0.981
Te 0.668 0.078 0.335
Te 0.010 0.254 0.019
Pr 0.817 0.647 0.634
Pr 0.500 0.500 0.000
Pr 0.164 0.812 0.328
Pr 0.836 0.188 0.672
Pr 0.183 0.353 0.366
Nd 0.500 0.000 0.000
```

***

Here is a relaxed Pr2NdTe crystal from Alexandria via LeMat-Bulk. Energies are from PBE. Values from VASP.

Energy above the most stable polymorph in this dataset, eV per formula unit: 0.39
Energy, eV/atom: -4.96
Total magnetic moment, μB per formula unit: 0.00
Space-group type: P4/mmm, No. 123
E_form (uncorrected), eV per atom: -0.595

```
&SYSTEM
  ibrav = 0, nat = 4, ntyp = 3
/
ATOMIC_SPECIES
Te 127.60 Te.upf
Pr 140.91 Pr.upf
Nd 144.24 Nd.upf
CELL_PARAMETERS angstrom
-0.149 -3.009 -2.639
1.443 -2.504 2.773
-7.635 -1.734 2.407
ATOMIC_POSITIONS crystal
Te 0.500 0.500 0.500
Pr 0.000 0.000 0.281
Pr 0.000 0.000 0.719
Nd 0.500 0.500 0.000
```

***

Here is a relaxed Pr3NdTe crystal from Alexandria via LeMat-Bulk. Energies are from PBE. Values from VASP.

Energy, eV/atom: -4.87
Total magnetic moment, μB per formula unit: 0.00
Space-group type: P2_1/c, No. 14
E_form (uncorrected), eV per atom: -0.423

```
&SYSTEM
  ibrav = 0, nat = 20, ntyp = 3
/
ATOMIC_SPECIES
Nd 144.24 Nd.upf
Pr 140.91 Pr.upf
Te 127.60 Te.upf
CELL_PARAMETERS angstrom
-1.325 -2.598 -7.780
0.766 -8.571 2.732
-9.715 4.815 0.047
ATOMIC_POSITIONS crystal
Nd 0.965 0.697 0.271
Nd 0.465 0.303 0.229
Nd 0.535 0.697 0.771
Nd 0.035 0.303 0.729
Pr 0.456 0.254 0.600
Pr 0.693 0.450 0.981
Pr 0.307 0.550 0.019
Pr 0.807 0.450 0.481
Pr 0.956 0.746 0.900
Pr 0.544 0.746 0.400
Pr 0.874 0.924 0.679
Pr 0.193 0.550 0.519
Pr 0.126 0.076 0.321
Pr 0.044 0.254 0.100
Pr 0.374 0.076 0.821
Pr 0.626 0.924 0.179
Te 0.210 0.929 0.527
Te 0.710 0.071 0.973
Te 0.790 0.071 0.473
Te 0.290 0.929 0.027
```

***

Here is a relaxed PrNdTe crystal from Alexandria via LeMat-Bulk. Energies are from PBE. Values from VASP.

Energy above the most stable polymorph in this dataset, eV per formula unit: 0.56
Energy, eV/atom: -5.01
Total magnetic moment, μB per formula unit: 0.00
Space-group type: I4mm, No. 107
E_form (uncorrected), eV per atom: -0.783

```
&SYSTEM
  ibrav = 0, nat = 3, ntyp = 3
/
ATOMIC_SPECIES
Te 127.60 Te.upf
Nd 144.24 Nd.upf
Pr 140.91 Pr.upf
CELL_PARAMETERS angstrom
4.027 0.000 0.000
0.000 4.027 0.000
-2.014 -2.014 5.988
ATOMIC_POSITIONS crystal
Te 0.619 0.619 0.238
Nd 0.267 0.267 0.534
Pr 0.964 0.964 0.928
```

***

Here is a relaxed PrNdTe crystal from Alexandria via LeMat-Bulk. Energies are from PBE. Values from VASP.

Energy above the most stable polymorph in this dataset, eV per formula unit: 0.51
Energy, eV/atom: -5.03
Total magnetic moment, μB per formula unit: 0.00
Space-group type: C2/m, No. 12
E_form (uncorrected), eV per atom: -0.798

```
&SYSTEM
  ibrav = 0, nat = 12, ntyp = 3
/
ATOMIC_SPECIES
Te 127.60 Te.upf
Nd 144.24 Nd.upf
Pr 140.91 Pr.upf
CELL_PARAMETERS angstrom
-0.458 3.009 -2.860
-9.594 3.424 5.141
5.234 3.678 6.082
ATOMIC_POSITIONS crystal
Te 0.423 0.835 0.846
Te 0.614 0.547 0.228
Te 0.577 0.165 0.154
Te 0.386 0.453 0.772
Nd 0.249 0.656 0.498
Nd 0.751 0.344 0.502
Nd 0.191 0.077 0.381
Nd 0.809 0.923 0.619
Pr 0.028 0.354 0.057
Pr 0.390 0.160 0.779
Pr 0.972 0.646 0.943
Pr 0.610 0.840 0.221
```

***

Here is a relaxed Pr3NdTh2Te6 crystal from Alexandria via LeMat-Bulk. Energies are from PBE. Values from VASP.

Energy, eV/atom: -5.68
Total magnetic moment, μB per formula unit: 0.00
Space-group type: C2/m, No. 12
E_form (uncorrected), eV per atom: -1.285

```
&SYSTEM
  ibrav = 0, nat = 12, ntyp = 4
/
ATOMIC_SPECIES
Th 232.04 Th.upf
Te 127.60 Te.upf
Nd 144.24 Nd.upf
Pr 140.91 Pr.upf
CELL_PARAMETERS angstrom
7.778 0.018 0.006
-3.872 6.746 0.006
-1.298 -2.247 7.371
ATOMIC_POSITIONS crystal
Th 0.332 0.668 0.000
Th 0.668 0.332 0.000
Te 0.582 0.917 0.751
Te 0.747 0.747 0.245
Te 0.917 0.582 0.751
Te 0.253 0.253 0.755
Te 0.083 0.418 0.249
Te 0.418 0.083 0.249
Nd 0.000 0.000 0.000
Pr 0.500 0.500 0.500
Pr 0.163 0.837 0.500
Pr 0.837 0.163 0.500
```

***

Here is a relaxed Pr3Nd2ThTe6 crystal from Alexandria via LeMat-Bulk. Energies are from PBE. Values from VASP.

Energy, eV/atom: -5.53
Total magnetic moment, μB per formula unit: 0.00
Space-group type: C2/m, No. 12
E_form (uncorrected), eV per atom: -1.356

```
&SYSTEM
  ibrav = 0, nat = 12, ntyp = 4
/
ATOMIC_SPECIES
Te 127.60 Te.upf
Th 232.04 Th.upf
Nd 144.24 Nd.upf
Pr 140.91 Pr.upf
CELL_PARAMETERS angstrom
4.505 0.000 0.000
0.000 9.032 0.372
-2.252 -2.549 9.462
ATOMIC_POSITIONS crystal
Te 0.668 0.582 0.336
Te 0.000 0.751 0.000
Te 0.666 0.085 0.332
Te 0.000 0.249 0.000
Te 0.332 0.418 0.664
Te 0.334 0.915 0.668
Th 0.500 0.000 0.000
Nd 0.834 0.669 0.669
Nd 0.166 0.331 0.331
Pr 0.167 0.834 0.334
Pr 0.833 0.166 0.666
Pr 0.500 0.500 0.000
```

***

Here is a relaxed Pr2NdThTe5 crystal from Alexandria via LeMat-Bulk. Energies are from PBE. Values from VASP.

Energy, eV/atom: -4.79
Total magnetic moment, μB per formula unit: 0.75
Space-group type: P4/mmm, No. 123
E_form (uncorrected), eV per atom: -0.626

```
&SYSTEM
  ibrav = 0, nat = 9, ntyp = 4
/
ATOMIC_SPECIES
Pr 140.91 Pr.upf
Te 127.60 Te.upf
Nd 144.24 Nd.upf
Th 232.04 Th.upf
CELL_PARAMETERS angstrom
5.667 0.000 0.000
0.000 5.667 0.000
0.000 0.000 11.981
ATOMIC_POSITIONS crystal
Pr 0.500 0.500 0.349
Pr 0.500 0.500 0.651
Te 0.000 0.500 0.500
Te 0.000 0.000 0.243
Te 0.000 0.000 0.757
Te 0.500 0.500 0.000
Te 0.500 0.000 0.500
Nd 0.000 0.000 0.500
Th 0.000 0.000 0.000
```

***

Here is a relaxed Pr3Nd4ThTe8 crystal from Alexandria via LeMat-Bulk. Energies are from PBE. Values from VASP.

Energy, eV/atom: -5.49
Total magnetic moment, μB per formula unit: 0.00
Space-group type: R-3m, No. 166
E_form (uncorrected), eV per atom: -1.370

```
&SYSTEM
  ibrav = 0, nat = 16, ntyp = 4
/
ATOMIC_SPECIES
Pr 140.91 Pr.upf
Te 127.60 Te.upf
Nd 144.24 Nd.upf
Th 232.04 Th.upf
CELL_PARAMETERS angstrom
-2.274 -8.457 -2.190
4.693 -3.085 7.039
-6.414 6.223 1.231
ATOMIC_POSITIONS crystal
Pr 0.500 0.500 0.000
Pr 0.500 0.500 0.500
Pr 0.000 0.500 0.500
Te 0.249 0.247 0.498
Te 0.248 0.249 0.998
Te 0.750 0.249 0.501
Te 0.250 0.751 0.499
Te 0.751 0.753 0.502
Te 0.750 0.249 0.998
Te 0.752 0.751 0.002
Te 0.250 0.751 0.002
Nd 0.000 0.000 0.500
Nd 0.500 0.000 0.500
Nd 0.500 0.000 0.000
Nd 0.000 0.000 0.000
Th 0.000 0.500 0.000
```

***

Here is a relaxed PrNd2Th3Te6 crystal from Alexandria via LeMat-Bulk. Energies are from PBE. Values from VASP.

Energy, eV/atom: -5.82
Total magnetic moment, μB per formula unit: 0.00
Space-group type: C2/m, No. 12
E_form (uncorrected), eV per atom: -1.205

```
&SYSTEM
  ibrav = 0, nat = 12, ntyp = 4
/
ATOMIC_SPECIES
Th 232.04 Th.upf
Te 127.60 Te.upf
Pr 140.91 Pr.upf
Nd 144.24 Nd.upf
CELL_PARAMETERS angstrom
4.464 0.000 0.000
0.000 9.027 -0.002
-2.232 -2.939 9.506
ATOMIC_POSITIONS crystal
Th 0.165 0.831 0.331
Th 0.835 0.169 0.669
Th 0.500 0.500 0.000
Te 0.333 0.917 0.665
Te 0.667 0.581 0.334
Te 0.333 0.419 0.666
Te 0.999 0.749 0.997
Te 0.001 0.251 0.003
Te 0.667 0.083 0.335
Pr 0.500 0.000 0.000
Nd 0.167 0.332 0.334
Nd 0.833 0.668 0.666
```

***

Here is a relaxed PrNdTlTe crystal from Alexandria via LeMat-Bulk. Energies are from PBE. Values from VASP.

Energy, eV/atom: -4.65
Total magnetic moment, μB per formula unit: 0.00
Space-group type: P4/mmm, No. 123
E_form (uncorrected), eV per atom: -0.882

```
&SYSTEM
  ibrav = 0, nat = 4, ntyp = 4
/
ATOMIC_SPECIES
Pr 140.91 Pr.upf
Te 127.60 Te.upf
Nd 144.24 Nd.upf
Tl 204.38 Tl.upf
CELL_PARAMETERS angstrom
4.535 0.000 0.000
0.000 4.535 0.000
0.000 0.000 6.424
ATOMIC_POSITIONS crystal
Pr 0.000 0.000 0.500
Te 0.000 0.000 0.000
Nd 0.500 0.500 0.000
Tl 0.500 0.500 0.500
```